Computed, not measured: a geometry-optimized CrMo4As structure at the GGA-PBEsol level of DFT.

Calculated values
The calculation puts the total energy at -58.6 eV per formula unit. The space-group type is No. 216.

```
data_CrMo4As
_cell_length_a 5.122
_cell_length_b 5.122
_cell_length_c 5.122
_cell_angle_alpha 60.00
_cell_angle_beta 60.00
_cell_angle_gamma 60.00
_space_group_name_H-M_alt 'P 1'
_space_group_IT_number 1
loop_
_space_group_symop_operation_xyz
'x,y,z'
loop_
_atom_site_label
_atom_site_type_symbol
_atom_site_fract_x
_atom_site_fract_y
_atom_site_fract_z
Cr1 Cr 0.000 0.000 0.000
Mo1 Mo 0.127 0.624 0.624
Mo2 Mo 0.624 0.127 0.624
Mo3 Mo 0.624 0.624 0.127
Mo4 Mo 0.624 0.624 0.624
As1 As 0.250 0.250 0.250
```